Below is an optimized crystal structure of TbCe2SmSe4, with properties calculated at the PBE level.

Summary:
The value obtained for the uncorrected formation energy is -1.816 eV per atom. As for the spin magnetization: 0.25 μB/atom. The calculation puts the total DFT energy (no corrections) at -6.21 eV/atom.

The structure in CIF format:
```
data_TbCe2SmSe4
_chemical_formula_sum 'Tb1 Ce2 Sm1 Se4'
_space_group_name_H-M_alt 'P 1 2/m 1'
_space_group_IT_number 10
_cell_length_a 7.204
_cell_length_b 4.142
_cell_length_c 7.274
_cell_angle_alpha 90.00
_cell_angle_beta 109.12
_cell_angle_gamma 90.00
loop_
_space_group_symop_operation_xyz
'x,y,z'
'-x,-y,-z'
'-x,y,-z'
'x,-y,z'
loop_
_atom_site_label
_atom_site_type_symbol
_atom_site_fract_x
_atom_site_fract_y
_atom_site_fract_z
_atom_site_occupancy
Tb1 Tb 0.000 0.000 0.000 1
Ce1 Ce 0.000 0.500 0.500 1
Ce2 Ce 0.500 0.000 0.500 1
Sm1 Sm 0.500 0.500 0.000 1
Se1 Se 0.244 0.500 0.242 1
Se2 Se 0.249 0.000 0.755 1
```

***

Below is an optimized crystal structure of Ba3PdIN, with properties calculated at the PBE level.

Summary:
The value obtained for the uncorrected formation energy is -0.801 eV per atom. As for the spin magnetization: 0.00 μB/atom. The calculation puts the total DFT energy (no corrections) at -4.27 eV/atom.

The structure in CIF format:
```
data_Ba3PdIN
_chemical_formula_sum 'Ba6 Pd2 I2 N2'
_space_group_name_H-M_alt 'P 1 21/m 1'
_space_group_IT_number 11
_cell_length_a 8.603
_cell_length_b 4.838
_cell_length_c 11.036
_cell_angle_alpha 90.00
_cell_angle_beta 98.76
_cell_angle_gamma 90.00
loop_
_space_group_symop_operation_xyz
'x,y,z'
'-x,-y,-z'
'-x,y+1/2,-z'
'x,-y+1/2,z'
loop_
_atom_site_label
_atom_site_type_symbol
_atom_site_fract_x
_atom_site_fract_y
_atom_site_fract_z
_atom_site_occupancy
Ba1 Ba 0.147 0.250 0.456 1
Ba2 Ba 0.185 0.250 0.818 1
Ba3 Ba 0.233 0.750 0.199 1
Pd1 Pd 0.020 0.250 0.062 1
I1 I 0.441 0.750 0.678 1
N1 N 0.037 0.750 0.361 1
```

***

Below is an optimized crystal structure of Li2PmPuGe2, with properties calculated at the PBE level.

Summary:
As for the spin magnetization: 0.85 μB/atom. The calculation puts the total DFT energy (no corrections) at -5.84 eV/atom. Its formation enthalpy at 0 K is -2.87 eV per formula unit.

The structure in CIF format:
```
data_Li2PmPuGe2
_chemical_formula_sum 'Li2 Pm1 Pu1 Ge2'
_space_group_name_H-M_alt 'P -3 m 1'
_space_group_IT_number 164
_space_group_name_Hall '-P 3 2"'
_cell_length_a 4.4923
_cell_length_b 4.4923
_cell_length_c 7.2413
_cell_angle_alpha 90.00
_cell_angle_beta 90.00
_cell_angle_gamma 120.00
loop_
_atom_site_label
_atom_site_type_symbol
_atom_site_fract_x
_atom_site_fract_y
_atom_site_fract_z
_atom_site_occupancy
Li1 Li 0.3333 0.6667 0.2684 1
Pm1 Pm 0.0000 0.0000 0.0000 1
Pu1 Pu 0.0000 0.0000 0.5000 1
Ge1 Ge 0.3333 0.6667 0.7352 1
```

***

Below is an optimized crystal structure of In2RuCl, with properties calculated at the PBE level.

Summary:
The energy above the most stable polymorph in this dataset comes out at 54 meV/atom. The value obtained for the uncorrected formation energy is -0.237 eV per atom. As for the spin magnetization: 0.00 μB/atom. The calculation puts the total DFT energy (no corrections) at -4.39 eV/atom.

The structure in CIF format:
```
data_In2RuCl
_chemical_formula_sum 'In2 Ru1 Cl1'
_space_group_name_H-M_alt 'P m m m'
_space_group_IT_number 47
_cell_length_a 3.239
_cell_length_b 3.289
_cell_length_c 7.884
_cell_angle_alpha 90.00
_cell_angle_beta 90.00
_cell_angle_gamma 90.00
loop_
_space_group_symop_operation_xyz
'x,y,z'
'-x,-y,-z'
'-x,-y,z'
'x,y,-z'
'x,-y,-z'
'-x,y,z'
'-x,y,-z'
'x,-y,z'
loop_
_atom_site_label
_atom_site_type_symbol
_atom_site_fract_x
_atom_site_fract_y
_atom_site_fract_z
_atom_site_occupancy
In1 In 0.000 0.000 0.199 1
Ru1 Ru 0.500 0.500 0.000 1
Cl1 Cl 0.500 0.000 0.500 1
```

***

Below is an optimized crystal structure of RbCaCr2, with properties calculated at the PBE level.

Summary:
The energy above the most stable polymorph in this dataset comes out at 0 meV/atom. As for the spin magnetization: 2.46 μB/atom. The calculation puts the total DFT energy (no corrections) at -4.40 eV/atom. Its formation enthalpy at 0 K is 4.63 eV per formula unit.

The structure in CIF format:
```
data_RbCaCr2
_chemical_formula_sum 'Rb4 Ca4 Cr8'
_space_group_name_H-M_alt 'F m -3 m'
_space_group_IT_number 225
_space_group_name_Hall '-F 4 2 3'
_cell_length_a 8.133
_cell_length_b 8.133
_cell_length_c 8.133
_cell_angle_alpha 90.00
_cell_angle_beta 90.00
_cell_angle_gamma 90.00
loop_
_atom_site_label
_atom_site_type_symbol
_atom_site_fract_x
_atom_site_fract_y
_atom_site_fract_z
_atom_site_occupancy
Rb1 Rb 0.000 0.000 0.000 1
Ca1 Ca 0.000 0.000 0.500 1
Cr1 Cr 0.250 0.250 0.250 1
```

***

Below is an optimized crystal structure of Be2CdW, with properties calculated at the PBE level.

Summary:
As for the spin magnetization: 0.00 μB/atom. The calculation puts the total DFT energy (no corrections) at -4.62 eV/atom. Its formation enthalpy at 0 K is 2.82 eV per formula unit.

The structure in CIF format:
```
data_Be2CdW
_chemical_formula_sum 'Be4 Cd2 W2'
_space_group_name_H-M_alt 'I m m m'
_space_group_IT_number 71
_space_group_name_Hall '-I 2 2'
_cell_length_a 2.786
_cell_length_b 4.851
_cell_length_c 8.492
_cell_angle_alpha 90.00
_cell_angle_beta 90.00
_cell_angle_gamma 90.00
loop_
_atom_site_label
_atom_site_type_symbol
_atom_site_fract_x
_atom_site_fract_y
_atom_site_fract_z
_atom_site_occupancy
Be1 Be 0.000 0.000 0.244 1
Cd1 Cd 0.000 0.500 0.000 1
W1 W 0.000 0.500 0.500 1
```

***

Below is an optimized crystal structure of AlInAsBr2, with properties calculated at the PBE level.

Summary:
The energy above the most stable polymorph in this dataset comes out at 409 meV/atom. The value obtained for the uncorrected formation energy is 0.185 eV per atom. As for the spin magnetization: 0.26 μB/atom. The calculation puts the total DFT energy (no corrections) at -2.71 eV/atom.

The structure in CIF format:
```
data_AlInAsBr2
_chemical_formula_sum 'Al1 In1 As1 Br2'
_space_group_name_H-M_alt 'P 4/m m m'
_space_group_IT_number 123
_space_group_name_Hall '-P 4 2'
_cell_length_a 5.589
_cell_length_b 5.589
_cell_length_c 5.605
_cell_angle_alpha 90.00
_cell_angle_beta 90.00
_cell_angle_gamma 90.00
loop_
_atom_site_label
_atom_site_type_symbol
_atom_site_fract_x
_atom_site_fract_y
_atom_site_fract_z
_atom_site_occupancy
Al1 Al 0.000 0.000 0.000 1
In1 In 0.500 0.500 0.500 1
As1 As 0.500 0.500 0.000 1
Br1 Br 0.000 0.500 0.500 1
```

***

Below is an optimized crystal structure of SrAcBiI, with properties calculated at the PBE level.

Summary:
The energy above the most stable polymorph in this dataset comes out at 55 meV/atom. The value obtained for the uncorrected formation energy is -0.964 eV per atom. As for the spin magnetization: 0.00 μB/atom. The calculation puts the total DFT energy (no corrections) at -3.77 eV/atom.

The structure in CIF format:
```
data_SrAcBiI
_chemical_formula_sum 'Sr4 Ac4 Bi4 I4'
_space_group_name_H-M_alt 'F -4 3 m'
_space_group_IT_number 216
_space_group_name_Hall 'F -4 2 3'
_cell_length_a 8.308
_cell_length_b 8.308
_cell_length_c 8.308
_cell_angle_alpha 90.00
_cell_angle_beta 90.00
_cell_angle_gamma 90.00
loop_
_atom_site_label
_atom_site_type_symbol
_atom_site_fract_x
_atom_site_fract_y
_atom_site_fract_z
_atom_site_occupancy
Sr1 Sr 0.000 0.000 0.000 1
Ac1 Ac 0.000 0.000 0.500 1
Bi1 Bi 0.250 0.250 0.250 1
I1 I 0.250 0.250 0.750 1
```